First-principles (PBE-GGA) data for a relaxed HPdRu2Rh crystal, as listed in the Alexandria database.

Cell: 3.898 3.898 3.926 Å, 90.00 90.00 90.00°
Space group P4/mmm (No. 123)
Unique sites:
H  0.000  0.000  0.000 x1
Pd  0.500  0.500  0.500 x1
Ru  0.000  0.500  0.000 x2
Rh  0.000  0.000  0.500 x1

First-principles (PBE-GGA) data for a relaxed Tl2TcRu crystal, as listed in the Alexandria database.

Calculated values
ΔE_f, eV/atom: 0.88

Cell: 4.093 4.093 8.909 Å, 90.00 90.00 90.00°
Space group I-4m2 (No. 119)
Unique sites:
Tl  0.000  0.000  0.000 x2
Tl  0.000  0.500  0.250 x2
Tc  0.000  0.000  0.500 x2
Ru  0.000  0.500  0.750 x2

First-principles (PBE-GGA) data for a relaxed PmHoInHg crystal, as listed in the Alexandria database.

Calculated values
ΔE_f, eV/atom: -0.46

Cell: 7.581 7.581 7.581 Å, 90.00 90.00 90.00°
Space group F-43m (No. 216)
Unique sites:
Pm  0.000  0.000  0.000 x4
Ho  0.000  0.000  0.500 x4
In  0.250  0.250  0.750 x4
Hg  0.250  0.250  0.250 x4

First-principles (PBE-GGA) data for a relaxed NpAl2ZnO8 crystal, as listed in the Alexandria database.

Calculated values
E_form (uncorrected), eV per atom: -2.243

Cell: 6.581 6.672 6.018 Å, 90.00 90.00 90.00°
Space group Cmmm (No. 65)
Unique sites:
Np  0.000  0.000  0.000 x2
Al  0.000  0.500  0.260 x4
Zn  0.000  0.000  0.500 x2
O  0.000  0.209  0.238 x8
O  0.185  0.500  0.000 x4
O  0.185  0.500  0.500 x4

First-principles (PBE-GGA) data for a relaxed TbThIr crystal, as listed in the Alexandria database.

Calculated values
ΔE_f, eV/atom: -0.50

Cell: 3.647 3.647 11.196 Å, 90.00 90.00 90.00°
Space group I4mm (No. 107)
Unique sites:
Tb  0.000  0.000  0.000 x2
Th  0.000  0.000  0.291 x2
Ir  0.000  0.000  0.665 x2

First-principles (PBE-GGA) data for a relaxed Cs2TlCl2F2 crystal, as listed in the Alexandria database.

Calculated values
E_form (uncorrected), eV per atom: -1.924

Cell: 4.925 4.925 17.357 Å, 90.00 90.00 90.00°
Space group I4/mmm (No. 139)
Unique sites:
Cs  0.000  0.000  0.130 x4
Tl  0.000  0.000  0.500 x2
Cl  0.000  0.000  0.337 x4
F  0.000  0.500  0.000 x4

First-principles (PBE-GGA) data for a relaxed Pm2TeI3 crystal, as listed in the Alexandria database.

Calculated values
E_form (uncorrected), eV per atom: -1.315

Cell: 9.025 4.336 15.153 Å, 90.00 106.36 90.00°
Space group P2_1/m (No. 11)
Unique sites:
Pm  0.090  0.250  0.240 x2
Pm  0.174  0.750  0.608 x2
Te  0.085  0.750  0.390 x2
I  0.196  0.750  0.124 x2
I  0.256  0.750  0.827 x2
I  0.425  0.250  0.613 x2

First-principles (PBE-GGA) data for a relaxed LiMn2Co2 crystal, as listed in the Alexandria database.

Calculated values
ΔE_f, eV/atom: 0.20

Cell: 6.936 6.936 2.413 Å, 90.00 90.00 90.00°
Space group P4/mbm (No. 127)
Unique sites:
Li  0.000  0.000  0.000 x2
Mn  0.120  0.380  0.000 x4
Co  0.170  0.670  0.500 x4

| no. | final energy (eV per cell) |
| --- | --- |
| 1 | -33.51 |
| 2 | -41.72 |
| 3 | -56.88 |
| 4 | -176.57 |
| 5 | -44.82 |
| 6 | -49.95 |
| 7 | -50.37 |
| 8 | -66.96 |